{"formula": "TeRu2Br", "functional": "PBE", "state": "optimized geometry", "raw_formation_energy_mev_per_atom": 389, "sg": "P4mm", "polymorph_energy_ev_per_atom": 0.013, "n_ef_per_ev_atom": 1.350, "lattice": [[-0.996, 1.584, -2.415], [-2.879, -0.337, 0.967], [0.678, 7.490, 4.632]], "species": ["Br", "Ru", "Ru", "Te"], "frac_coords": [[0.500, 0.500, 0.830], [0.500, 0.500, 0.210], [0.000, 0.000, 0.034], [0.000, 0.000, 0.426]]}